Compound: BaLi2CrCo
Source: the Alexandria database
Functional: PBE
Structure: optimized geometry

```
data_BaLi2CrCo
_chemical_formula_sum 'Ba1 Li2 Cr1 Co1'
_cell_length_a 4.9824
_cell_length_b 4.9824
_cell_length_c 4.4735
_cell_angle_alpha 90.00
_cell_angle_beta 90.00
_cell_angle_gamma 90.00
_symmetry_space_group_name_H-M 'P 4/m m m'
_symmetry_Int_Tables_number 123
_symmetry_space_group_name_Hall '-P 4 2'
loop_
_atom_site_label
_atom_site_fract_x
_atom_site_fract_y
_atom_site_fract_z
_atom_site_occupancy
Ba1 0.0000 0.0000 0.0000 1
Li1 0.0000 0.5000 0.5000 1
Cr1 0.5000 0.5000 0.0000 1
Co1 0.5000 0.5000 0.5000 1
```

Summary:
DFT total energy, eV for the cell shown: -20.234
Formation energy from the elements, meV/atom: 449